No. 1
## GaTcPt2 (GGA-PBE)

Data for crystalline GaTcPt2 at its relaxed geometry.

Its formation energy is 12.8 kJ per mole of atoms.

The space group is I-42d (No. 122) and the conventional cell measures 3.8215, 3.8215 and 18.1284 Å, with angles of 90.00, 90.00 and 90.00 degrees. The asymmetric unit holds Ga at (0.0000, 0.0000, 0.0000), Tc at (0.0000, 0.0000, 0.5000) and Pt at (0.2501, 0.2500, 0.1250).

---

No. 2
## Ga2TcPt (GGA-PBE)

Data for crystalline Ga2TcPt at its relaxed geometry.

Its formation energy is -38.7 kJ per mole of atoms.

The space group is P4/mmm (No. 123) and the conventional cell measures 4.2283, 4.2283 and 3.2799 Å, with angles of 90.00, 90.00 and 90.00 degrees. The asymmetric unit holds Ga at (0.0000, 0.5000, 0.0000), Tc at (0.0000, 0.0000, 0.5000) and Pt at (0.5000, 0.5000, 0.5000).

---

No. 3
## Ga6TcPt (GGA-PBE)

Data for crystalline Ga6TcPt at its relaxed geometry.

Its formation energy is -16.6 kJ per mole of atoms.

The space group is C2/m (No. 12) and the conventional cell measures 11.8773, 6.8387 and 6.8738 Å, with angles of 90.00, 125.28 and 90.00 degrees. The asymmetric unit holds Ga at (0.9998, 0.2473, 0.2467), Ga at (0.2471, 0.0000, 0.2468), Tc at (0.0000, 0.0000, 0.0000) and Pt at (0.0000, 0.5000, 0.5000).

---

No. 4
## TlGaTc2Pt (GGA-PBE)

Data for crystalline TlGaTc2Pt at its relaxed geometry.

Its formation energy is 193.0 kJ per mole of atoms.

The space group is P4/mmm (No. 123) and the conventional cell measures 5.1946, 5.1946 and 5.0569 Å, with angles of 90.00, 90.00 and 90.00 degrees. The asymmetric unit holds Tl at (0.0000, 0.0000, 0.0000), Ga at (0.5000, 0.5000, 0.5000), Tc at (0.0000, 0.5000, 0.0000) and Pt at (0.0000, 0.0000, 0.5000).

---

No. 5
## V2GaTcPt (GGA-PBE)

Data for crystalline V2GaTcPt at its relaxed geometry.

Its formation energy is 113.3 kJ per mole of atoms.

The space group is P4/mmm (No. 123) and the conventional cell measures 4.4322, 4.4322 and 4.4252 Å, with angles of 90.00, 90.00 and 90.00 degrees. The asymmetric unit holds V at (0.0000, 0.5000, 0.0000), Ga at (0.0000, 0.0000, 0.0000), Tc at (0.5000, 0.5000, 0.5000) and Pt at (0.0000, 0.0000, 0.5000).

---

No. 6
## GaTc2PtW (GGA-PBE)

Data for crystalline GaTc2PtW at its relaxed geometry.

Its formation energy is 149.7 kJ per mole of atoms.

The space group is P4/mmm (No. 123) and the conventional cell measures 4.4436, 4.4436 and 4.5527 Å, with angles of 90.00, 90.00 and 90.00 degrees. The asymmetric unit holds Ga at (0.0000, 0.0000, 0.0000), Tc at (0.0000, 0.5000, 0.0000), Pt at (0.5000, 0.5000, 0.5000) and W at (0.0000, 0.0000, 0.5000).